No. 1
DFT (PBE-GGA) results for a relaxed structure of Li3NbNi.

The structure in POSCAR format:
```
Li3NbNi
1.0
4.857 0.000 0.000
0.000 4.857 0.000
0.000 0.000 4.857
Li Nb Ni
3 1 1
Cartesian
0.000 0.000 2.429
0.000 2.429 0.000
2.429 0.000 0.000
0.000 0.000 0.000
2.429 2.429 2.429
```

Summary:
The distance to the lowest polymorph of the same formula comes out at 807 meV/atom. The calculation puts the mass density at 2.50 g/cm³. The total moment is 0.96 μB/atom. The energy of formation comes out at 1.653 eV per atom.


No. 2
DFT (PBE-GGA) results for a relaxed structure of LiNbNi3.

The structure in POSCAR format:
```
LiNbNi3
1.0
3.958 0.000 0.000
0.000 3.958 0.000
0.000 0.000 3.958
Li Nb Ni
1 1 3
Cartesian
0.000 0.000 0.000
1.979 1.979 1.979
0.000 0.000 1.979
0.000 1.979 0.000
1.979 0.000 0.000
```

Summary:
The distance to the lowest polymorph of the same formula comes out at 0 meV/atom. The calculation puts the mass density at 7.39 g/cm³. The total moment is 0.40 μB/atom. The energy of formation comes out at 0.487 eV per atom.